# 1
A plane-wave DFT calculation with PBE was carried out for an optimized crystal structure of CoSi2Br.

POSCAR file:
```
CoSi2Br
1.0
-0.785 3.759 -2.149
-2.322 -3.283 -1.788
-4.284 0.949 0.272
Si Br Co
2 1 1
Direct
0.500 0.500 0.000
0.000 0.000 0.000
0.500 0.000 0.500
0.000 0.500 0.500
```

- energy relative to the lowest polymorph listed for this composition (meV/atom) = 439
- DOS(E_F) (states/eV per cell) = 2.84
- space-group type = No. 139
- formation energy without anion corrections (meV/atom) = 564

---

# 2
A plane-wave DFT calculation with PBE was carried out for an optimized crystal structure of CoSiBr.

POSCAR file:
```
CoSiBr
1.0
-0.195 0.250 3.464
1.706 -2.657 -1.458
13.195 8.397 0.136
Si Co Br
3 3 3
Direct
0.667 0.333 0.680
0.333 0.667 0.014
0.000 0.000 0.347
0.667 0.333 0.284
0.000 0.000 0.950
0.333 0.667 0.617
0.667 0.333 0.842
0.333 0.667 0.176
0.000 0.000 0.509
```

- energy relative to the lowest polymorph listed for this composition (meV/atom) = 309
- DOS(E_F) (states/eV per cell) = 2.54
- space-group type = No. 160
- formation energy without anion corrections (meV/atom) = 35

---

Uncorrected energy in eV per formula unit, matching the order above: -17.368 -14.097